(1)
This record from Alexandria describes a relaxed Fe2I7Cl2 crystal. The functional is GGA-PBE.

Geometry as POSCAR:
```
Fe2I7Cl2
1.0
6.0020 -6.5838 0.0000
6.0020 6.5838 0.0000
-4.2705 0.0000 15.3584
Fe I Cl
4 14 4
direct
0.0719 0.5869 0.7054
0.4131 0.9281 0.7946
0.5869 0.0719 0.2054
0.9281 0.4131 0.2946
0.0074 0.4510 0.8317
0.1104 0.8896 0.7500
0.2176 0.5196 0.3368
0.2517 0.4727 0.6187
0.4510 0.0074 0.3317
0.4727 0.2517 0.1187
0.4804 0.7824 0.1632
0.5196 0.2176 0.8368
0.5273 0.7483 0.8813
0.5490 0.9926 0.6683
0.7483 0.5273 0.3813
0.7824 0.4804 0.6632
0.8896 0.1104 0.2500
0.9926 0.5490 0.1683
0.2080 0.4449 0.9583
0.4449 0.2080 0.4583
0.5551 0.7920 0.5417
0.7920 0.5551 0.0417
```

Magnetic moment   9.0 μB/f.u.
Density   2.9 g/cm³
DOS(E_F)   0.5539 states/eV/atom
DFT total energy   -32.51 eV/f.u.
Space group   No. 15
E_form (uncorrected)   -0.09 eV per atom

***

(2)
This record from Alexandria describes a relaxed Mn2AgW crystal. The functional is GGA-PBE.

Geometry as POSCAR:
```
Mn2AgW
1.0
1.3789 0.7961 9.0194
-1.3789 0.7961 9.0194
0.0000 -1.5923 9.0194
Mn Ag W
2 1 1
direct
0.0000 0.0000 0.0000
0.2633 0.2633 0.2633
0.5099 0.5099 0.5099
0.7496 0.7496 0.7496
```

Magnetic moment   0.4 μB/f.u.
Density   11.2 g/cm³
DOS(E_F)   0.9745 states/eV/atom
DFT total energy   -32.43 eV/f.u.
Space group   No. 160
Energy relative to the lowest polymorph listed for this composition   40 kJ/mol of formula units
DFT formation energy   0.43 eV/atom

***

(3)
This record from Alexandria describes a relaxed Tc2Pb crystal. The functional is GGA-PBE.

Geometry as POSCAR:
```
Tc2Pb
1.0
1.4750 -10.1732 0.0000
1.4750 10.1732 0.0000
0.0000 0.0000 4.2422
Tc Pb
4 2
direct
0.0366 0.9634 0.7500
0.4278 0.5722 0.7500
0.5722 0.4278 0.2500
0.9634 0.0366 0.2500
0.3267 0.6733 0.2500
0.6733 0.3267 0.7500
```

Magnetic moment   0.0 μB/f.u.
Density   10.5 g/cm³
DOS(E_F)   0.9160 states/eV/atom
DFT total energy   -23.35 eV/f.u.
Space group   No. 63
Energy relative to the lowest polymorph listed for this composition   0 kJ/mol of formula units
DFT formation energy   0.36 eV/atom

***

(4)
This record from Alexandria describes a relaxed TbSmIrAu crystal. The functional is GGA-PBE.

Geometry as POSCAR:
```
TbSmIrAu
1.0
3.5614 0.0000 0.0000
0.0000 3.5614 0.0000
0.0000 0.0000 7.1330
Tb Sm Ir Au
1 1 1 1
direct
0.0000 0.0000 0.0000
0.0000 0.0000 0.4666
0.5000 0.5000 0.2274
0.5000 0.5000 0.7433
```

Magnetic moment   0.0 μB/f.u.
Density   12.8 g/cm³
DOS(E_F)   0.8525 states/eV/atom
DFT total energy   -24.61 eV/f.u.
Space group   No. 99
Energy relative to the lowest polymorph listed for this composition   0 kJ/mol of formula units
DFT formation energy   -0.78 eV/atom

***

(5)
This record from Alexandria describes a relaxed KAgTe2 crystal. The functional is GGA-PBE.

Geometry as POSCAR:
```
KAgTe2
1.0
3.2445 0.0000 0.0000
0.0000 4.0238 0.0000
0.0000 0.0000 8.9391
K Ag Te
1 1 2
direct
0.0000 0.0000 0.0000
0.0000 0.0000 0.5000
0.5000 0.5000 0.2828
0.5000 0.5000 0.7172
```

Magnetic moment   0.0 μB/f.u.
Density   5.7 g/cm³
DOS(E_F)   0.4707 states/eV/atom
DFT total energy   -11.23 eV/f.u.
Space group   No. 47
E_form (uncorrected)   -0.25 eV per atom

***

(6)
This record from Alexandria describes a relaxed La2Cd2In crystal. The functional is GGA-PBE.

Geometry as POSCAR:
```
La2Cd2In
1.0
7.6651 0.0000 0.0000
0.0000 7.6651 0.0000
0.0000 0.0000 4.9974
La Cd In
4 4 2
direct
0.1717 0.3283 0.0000
0.3283 0.8283 0.0000
0.6717 0.1717 0.0000
0.8283 0.6717 0.0000
0.1317 0.6317 0.5000
0.3683 0.1317 0.5000
0.6317 0.8683 0.5000
0.8683 0.3683 0.5000
0.0000 0.0000 0.5000
0.5000 0.5000 0.5000
```

Magnetic moment   0.0 μB/f.u.
Density   7.0 g/cm³
DOS(E_F)   1.4024 states/eV/atom
DFT total energy   -16.20 eV/f.u.
Space group   No. 127
Energy relative to the lowest polymorph listed for this composition   10 kJ/mol of formula units
DFT formation energy   -0.36 eV/atom

***

(7)
This record from Alexandria describes a relaxed Nd2Cu3Ge4Pt crystal. The functional is GGA-PBE.

Geometry as POSCAR:
```
Nd2Cu3Ge4Pt
1.0
4.2389 0.0000 0.0000
0.0000 4.2389 0.0000
0.0000 0.0000 10.1693
Nd Cu Ge Pt
2 3 4 1
direct
0.0000 0.5000 0.2485
0.5000 0.0000 0.7515
0.0000 0.5000 0.8722
0.5000 0.0000 0.1278
0.5000 0.5000 0.5000
0.0000 0.0000 0.0000
0.0000 0.5000 0.6354
0.5000 0.0000 0.3646
0.5000 0.5000 0.0000
0.0000 0.0000 0.5000
```

Magnetic moment   0.0 μB/f.u.
Density   8.8 g/cm³
DOS(E_F)   0.4211 states/eV/atom
DFT total energy   -52.38 eV/f.u.
Space group   No. 115
DFT formation energy   -0.60 eV/atom

***

(8)
This record from Alexandria describes a relaxed LiPmEr2Pt4 crystal. The functional is GGA-PBE.

Geometry as POSCAR:
```
LiPmEr2Pt4
1.0
2.3880 1.3787 8.2023
-2.3880 1.3787 8.2023
0.0000 -2.7574 8.2023
Li Pm Er Pt
1 1 2 4
direct
0.0000 0.0000 0.0000
0.5000 0.5000 0.5000
0.2622 0.2622 0.2622
0.7378 0.7378 0.7378
0.1107 0.1107 0.1107
0.3772 0.3772 0.3772
0.6228 0.6228 0.6228
0.8893 0.8893 0.8893
```

Magnetic moment   0.0 μB/f.u.
Density   13.0 g/cm³
DOS(E_F)   0.3997 states/eV/atom
DFT total energy   -48.43 eV/f.u.
Space group   No. 166
DFT formation energy   -1.06 eV/atom